(1)
{"formula": "Hf2TcHRh", "functional": "PBE-GGA", "state": "relaxed", "total_energy_ev_per_cell": -43.9, "cell": [[-2.7264, 3.6107, 0.3866], [-2.6718, -1.6673, -3.2713], [-1.9045, -1.6973, 2.4206]], "species": ["Hf", "Hf", "H", "Tc", "Rh"], "fractional_positions": [[0.0000, 0.5000, 0.0000], [0.5000, 0.0000, 0.0000], [0.0000, 0.0000, 0.0000], [0.0000, 0.0000, 0.5000], [0.5000, 0.5000, 0.5000]]}



(2)
{"formula": "Ca2GePt2", "functional": "PBE-GGA", "state": "relaxed", "formation_enthalpy_0k_ev_per_atom": -0.963, "total_energy_ev_per_cell": -51.0, "cell": [[-0.6204, 2.1423, 5.1722], [-2.6392, -3.0181, 3.9562], [6.2226, -3.3043, 3.6917]], "species": ["Pt", "Ge", "Pt", "Ca", "Pt", "Ca", "Pt", "Ge", "Ca", "Ca"], "fractional_positions": [[0.0035, 0.7394, 0.4986], [0.8706, 0.1294, 0.2500], [0.9965, 0.2606, 0.5014], [0.7843, 0.5191, 0.8474], [0.2606, 0.9965, 0.0014], [0.5191, 0.7843, 0.3474], [0.7394, 0.0035, 0.9986], [0.1294, 0.8706, 0.7500], [0.2157, 0.4809, 0.1526], [0.4809, 0.2157, 0.6526]]}



(3)
{"formula": "Ba2LaTa", "functional": "PBE-GGA", "state": "relaxed", "formation_enthalpy_0k_ev_per_atom": 0.886, "total_energy_ev_per_cell": -17.1, "cell": [[-2.8439, 0.9050, -1.7962], [-1.9212, -2.1400, 1.9655], [-2.0008, 8.7593, 7.5809]], "species": ["Ba", "Ta", "Ba", "La"], "fractional_positions": [[0.0000, 0.0000, 0.5361], [0.5000, 0.5000, 0.7500], [0.0000, 0.0000, 0.9639], [0.5000, 0.5000, 0.2500]]}



(4)
{"formula": "Na3Hg2HPd3", "functional": "PBE-GGA", "state": "relaxed", "total_energy_ev_per_cell": -23.7, "cell": [[4.1749, 0.0000, 0.0000], [0.0000, 6.9413, 0.0000], [0.0000, -3.4706, 6.0113]], "species": ["Pd", "Na", "Pd", "Na", "Hg", "Na", "H", "Pd", "Hg"], "fractional_positions": [[0.5000, 0.0000, 0.7750], [0.0000, 0.6524, 0.6524], [0.5000, 0.2250, 0.2250], [0.0000, 0.3476, 0.0000], [0.5000, 0.6667, 0.3333], [0.0000, 0.0000, 0.3476], [0.0000, 0.0000, 0.0000], [0.5000, 0.7750, 0.0000], [0.5000, 0.3333, 0.6667]]}